# 1
Material: NaTh2In9
Method: DFT, PBE
State: optimized geometry

E = -3.646 eV/atom
calculated density = 7.971 Mg/m³
volume = 26.4 A^3/atom
ΔH_f (0 K) = -0.246 eV/atom

Cell lengths 4.7234, 4.7234, 14.1970 Å; angles 90.00, 90.00, 90.00 degrees
Closest atoms and distances in Å follow each position.
Atoms (fractional coordinates):
Na  0.0000  0.0000  0.0000  12 In 3.29-3.34
Th  0.0000  0.0000  0.3347  12 In 3.33-3.41
Th  0.0000  0.0000  0.6653  12 In 3.33-3.41
In  0.5000  0.5000  0.0000  8 In 3.29, 4 Na 3.34
In  0.5000  0.5000  0.3315  4 Th 3.34, 8 In 3.36-3.38
In  0.5000  0.5000  0.6685  4 Th 3.34, 8 In 3.36-3.38
In  0.5000  0.0000  0.1612  8 In 3.29-3.38, 2 Na 3.29, 2 Th 3.41
In  0.5000  0.0000  0.5000  4 Th 3.33, 8 In 3.34-3.36
In  0.5000  0.0000  0.8388  8 In 3.29-3.38, 2 Na 3.29, 2 Th 3.41
In  0.0000  0.5000  0.1612  2 Na 3.29, 8 In 3.29-3.38, 2 Th 3.41
In  0.0000  0.5000  0.5000  4 Th 3.33, 8 In 3.34-3.36
In  0.0000  0.5000  0.8388  2 Na 3.29, 8 In 3.29-3.38, 2 Th 3.41

# 2
Material: NaAl2TcO6
Method: DFT, PBE
State: optimized geometry

E = -7.027 eV/atom
calculated density = 3.375 Mg/m³
volume = 13.3 A^3/atom
raw formation energy = -2.135 eV per atom

Cell lengths 5.9966, 7.0649, 7.0649 Å; angles 101.83, 74.85, 74.85 degrees
Closest atoms and distances in Å follow each position.
Atoms (fractional coordinates):
Na  0.2500  0.8965  0.1035  6 O 2.44-2.55
Na  0.7500  0.1035  0.8965  6 O 2.44-2.55
Al  0.3307  0.6982  0.5564  5 O 1.79-1.99
Al  0.1693  0.4436  0.3018  5 O 1.79-1.99
Al  0.6693  0.3018  0.4436  5 O 1.79-1.99
Al  0.8307  0.5564  0.6982  5 O 1.79-1.99
Tc  0.2500  0.1946  0.8054  4 O 1.85
Tc  0.7500  0.8054  0.1946  4 O 1.85
O  0.1950  0.9456  0.7750  1 Tc 1.85, 1 Al 1.90
O  0.3050  0.2250  0.0544  1 Tc 1.85, 1 Al 1.90
O  0.8050  0.0544  0.2250  1 Tc 1.85, 1 Al 1.90
O  0.6950  0.7750  0.9456  1 Tc 1.85, 1 Al 1.90
O  0.4502  0.8275  0.3703  1 Tc 1.85, 1 Al 1.85
O  0.0498  0.6297  0.1725  1 Tc 1.85, 1 Al 1.85
O  0.5498  0.1725  0.6297  1 Tc 1.85, 1 Al 1.85
O  0.9502  0.3703  0.8275  1 Tc 1.85, 1 Al 1.85
O  0.0413  0.6640  0.5667  3 Al 1.79-1.99
O  0.4587  0.4333  0.3360  3 Al 1.79-1.99
O  0.9587  0.3360  0.4333  3 Al 1.79-1.99
O  0.5413  0.5667  0.6640  3 Al 1.79-1.99

# 3
Material: PaBiS3
Method: DFT, PBE
State: optimized geometry

E = -6.241 eV/atom
calculated density = 7.064 Mg/m³
volume = 25.2 A^3/atom
raw formation energy = -1.090 eV per atom

Cell lengths 3.8870, 9.8472, 8.9311 Å; angles 132.48, 90.00, 90.00 degrees
Closest atoms and distances in Å follow each position.
Atoms (fractional coordinates):
Pa  0.2500  0.2814  0.1855  8 S 2.75-2.89
Pa  0.7500  0.7186  0.8145  8 S 2.75-2.89
Bi  0.2500  0.8362  0.4087  1 S 2.67
Bi  0.7500  0.1638  0.5913  1 S 2.67
S  0.7500  0.5541  0.4078  3 Pa 2.78-2.81, 1 S 2.95
S  0.2500  0.4459  0.5922  3 Pa 2.78-2.81, 1 S 2.95
S  0.7500  0.2766  0.9603  1 Bi 2.67, 2 Pa 2.77, 1 S 2.95
S  0.2500  0.9058  0.7991  3 Pa 2.75-2.89, 1 Bi 3.07
S  0.2500  0.7234  0.0397  1 Bi 2.67, 2 Pa 2.77, 1 S 2.95
S  0.7500  0.0942  0.2009  3 Pa 2.75-2.89, 1 Bi 3.07

# 4
Material: CsSrPmBr6
Method: DFT, PBE
State: optimized geometry

E = -3.901 eV/atom
calculated density = 3.375 Mg/m³
volume = 46.2 A^3/atom
raw formation energy = -1.976 eV per atom

Cell lengths 7.8568, 7.8568, 15.5552 Å; angles 90.00, 90.00, 120.00 degrees
Closest atoms and distances in Å follow each position.
Atoms (fractional coordinates):
Cs  0.0000  0.0000  0.0000  6 Br 3.70
Cs  0.0000  0.0000  0.5000  6 Br 3.70
Sr  0.3333  0.6667  0.2500  6 Br 3.07
Sr  0.6667  0.3333  0.7500  6 Br 3.07
Pm  0.6667  0.3333  0.2500  6 Br 2.90
Pm  0.3333  0.6667  0.7500  6 Br 2.90
Br  0.6299  0.6130  0.1416  1 Pm 2.90, 1 Sr 3.07
Br  0.9831  0.3701  0.1416  1 Pm 2.90, 1 Sr 3.07
Br  0.3701  0.9831  0.6416  1 Pm 2.90, 1 Sr 3.07
Br  0.0169  0.6299  0.8584  1 Pm 2.90, 1 Sr 3.07
Br  0.3870  0.3701  0.3584  1 Pm 2.90, 1 Sr 3.07
Br  0.9831  0.6130  0.3584  1 Pm 2.90, 1 Sr 3.07
Br  0.6130  0.9831  0.8584  1 Pm 2.90, 1 Sr 3.07
Br  0.6299  0.0169  0.3584  1 Pm 2.90, 1 Sr 3.07
Br  0.0169  0.3870  0.6416  1 Pm 2.90, 1 Sr 3.07
Br  0.3870  0.0169  0.1416  1 Pm 2.90, 1 Sr 3.07
Br  0.6130  0.6299  0.6416  1 Pm 2.90, 1 Sr 3.07
Br  0.3701  0.3870  0.8584  1 Pm 2.90, 1 Sr 3.07

# 5
Material: Na3TaCl
Method: DFT, PBE
State: optimized geometry

E = -2.501 eV/atom
calculated density = 2.143 Mg/m³
volume = 44.2 A^3/atom
raw formation energy = 1.030 eV per atom

Cell lengths 6.0469, 6.0469, 6.0469 Å; angles 90.00, 90.00, 90.00 degrees
Closest atoms and distances in Å follow each position.
Atoms (fractional coordinates):
Na  0.0000  0.5000  0.0000  2 Ta 3.02
Na  0.0000  0.0000  0.5000  2 Ta 3.02
Na  0.5000  0.0000  0.0000  2 Ta 3.02
Cl  0.5000  0.5000  0.5000  12 Na 4.28
Ta  0.0000  0.0000  0.0000  6 Na 3.02

# 6
Material: SrZn2As
Method: DFT, PBE
State: optimized geometry

E = -2.454 eV/atom
calculated density = 5.425 Mg/m³
volume = 22.4 A^3/atom
ΔH_f (0 K) = -0.234 eV/atom

Cell lengths 3.5055, 3.7616, 6.8100 Å; angles 90.00, 90.00, 90.00 degrees
Closest atoms and distances in Å follow each position.
Atoms (fractional coordinates):
As  0.0000  0.0000  0.4444  1 Zn 2.58
Sr  0.5000  0.5000  0.7403  4 As 3.27, 6 Zn 3.34-3.47, 2 Sr 3.51
Zn  0.0000  0.0000  0.0659  1 As 2.58, 4 Zn 2.86
Zn  0.5000  0.5000  0.2494  4 Zn 2.86, 4 As 2.89

# 7
Material: HoErNi2
Method: DFT, PBE
State: optimized geometry

E = -5.597 eV/atom
calculated density = 9.893 Mg/m³
volume = 18.9 A^3/atom
ΔH_f (0 K) = -0.421 eV/atom

Cell lengths 4.7434, 4.7434, 4.7434 Å; angles 60.00, 60.00, 60.00 degrees
Closest atoms and distances in Å follow each position.
Atoms (fractional coordinates):
Ni  0.2500  0.2500  0.2500  4 Ho 2.90, 4 Er 2.90
Ni  0.7500  0.7500  0.7500  4 Er 2.90, 4 Ho 2.90
Ho  0.0000  0.0000  0.0000  8 Ni 2.90
Er  0.5000  0.5000  0.5000  8 Ni 2.90

# 8
Material: Pm2PaSi
Method: DFT, PBE
State: optimized geometry

E = -6.187 eV/atom
calculated density = 9.106 Mg/m³
volume = 25.0 A^3/atom
raw formation energy = -0.082 eV per atom

Cell lengths 4.5410, 4.6960, 4.6960 Å; angles 90.00, 90.00, 90.00 degrees
Closest atoms and distances in Å follow each position.
Atoms (fractional coordinates):
Si  0.5000  0.0000  0.0000  8 Pm 3.27, 4 Pa 3.32
Pa  0.5000  0.5000  0.5000  8 Pm 3.27, 4 Si 3.32
Pm  0.0000  0.0000  0.5000  4 Pa 3.27, 4 Si 3.27, 4 Pm 3.32
Pm  0.0000  0.5000  0.0000  4 Pa 3.27, 4 Si 3.27, 4 Pm 3.32

# 9
Material: SiGePd2
Method: DFT, PBE
State: optimized geometry

E = -5.348 eV/atom
calculated density = 8.558 Mg/m³
volume = 15.2 A^3/atom
raw formation energy = -0.242 eV per atom

Cell lengths 4.4148, 4.4148, 4.4148 Å; angles 60.00, 60.00, 60.00 degrees
Closest atoms and distances in Å follow each position.
Atoms (fractional coordinates):
Ge  0.5000  0.5000  0.5000  8 Pd 2.70
Si  0.0000  0.0000  0.0000  8 Pd 2.70
Pd  0.2500  0.2500  0.2500  4 Ge 2.70, 4 Si 2.70
Pd  0.7500  0.7500  0.7500  4 Ge 2.70, 4 Si 2.70

# 10
Material: Tm6TlPt2
Method: DFT, PBE
State: optimized geometry

E = -5.325 eV/atom
calculated density = 11.497 Mg/m³
volume = 25.8 A^3/atom
ΔH_f (0 K) = -0.738 eV/atom

Cell lengths 8.4672, 8.4672, 8.4672 Å; angles 104.65, 110.54, 113.33 degrees
Closest atoms and distances in Å follow each position.
Atoms (fractional coordinates):
Tm  0.5260  0.7090  0.8169  3 Pt 2.98-3.11, 1 Tl 3.23
Tm  0.4740  0.2910  0.1831  3 Pt 2.98-3.11, 1 Tl 3.23
Tm  0.1079  0.2910  0.8169  3 Pt 2.98-3.11, 1 Tl 3.23
Tm  0.8921  0.7090  0.1831  3 Pt 2.98-3.11, 1 Tl 3.23
Tm  0.7953  0.7633  0.5586  1 Pt 2.78
Tm  0.2047  0.2367  0.4414  1 Pt 2.78
Tm  0.2047  0.7633  0.9681  1 Pt 2.78
Tm  0.7953  0.2367  0.0319  1 Pt 2.78
Tm  0.6983  0.3672  0.6689  3 Pt 2.74-2.97
Tm  0.3017  0.6328  0.3311  3 Pt 2.74-2.97
Tm  0.3017  0.9706  0.6689  3 Pt 2.74-2.97
Tm  0.6983  0.0294  0.3311  3 Pt 2.74-2.97
Tl  0.0000  0.5000  0.5000  12 Tm 3.31-3.62
Tl  0.0000  0.0000  0.0000  8 Tm 3.15-3.23, 2 Pt 3.30
Pt  0.5000  0.3642  0.8642  6 Tm 2.74-2.98, 1 Pt 2.81
Pt  0.5000  0.6358  0.1358  6 Tm 2.74-2.98, 1 Pt 2.81
Pt  0.6584  0.0000  0.6584  8 Tm 2.78-3.11, 1 Pt 3.06
Pt  0.3416  0.0000  0.3416  8 Tm 2.78-3.11, 1 Pt 3.06